# 1
YCo4Si12 | GGA-PBE | optimized geometry

Cell and atoms, written as extended XYZ:
```
17
Lattice="-4.0089 4.0089 4.0089 4.0089 -4.0089 4.0089 4.0089 4.0089 -4.0089" Properties=species:S:1:pos:R:3 pbc="T T T"
Y 0.0000 0.0000 0.0000
Co 2.0045 2.0045 -2.0045
Co 2.0045 -2.0045 2.0045
Co -2.0045 2.0045 2.0045
Co 2.0045 2.0045 2.0045
Si 2.7914 0.0000 1.3407
Si 5.2265 0.0000 1.3407
Si 4.0089 2.6682 -1.2176
Si 1.3407 2.7914 0.0000
Si 2.6682 -1.2176 4.0089
Si 4.0089 2.6682 1.2176
Si 0.0000 1.3407 2.7914
Si 1.3407 5.2265 0.0000
Si 2.6682 1.2176 4.0089
Si 0.0000 1.3407 5.2265
Si -1.2176 4.0089 2.6682
Si 1.2176 4.0089 2.6682
```

Output
**Space group**: Im-3
**M_tot**: 0.00 Bohr magnetons per cell
**DOS at the Fermi energy**: 11.93 states/eV/cell
**Calculated density**: 4.3 g/cm3
**Energy relative to the elements, uncorrected**: -0.163 eV/atom


# 2
BaSiTc2S | GGA-PBE | optimized geometry

Cell and atoms, written as extended XYZ:
```
5
Lattice="5.2067 0.0000 0.0000 0.0000 5.2067 0.0000 0.0000 0.0000 5.6296" Properties=species:S:1:pos:R:3 pbc="T T T"
Ba 0.0000 0.0000 0.0000
Si 0.0000 0.0000 2.8148
Tc 0.0000 2.6033 0.0000
Tc 2.6033 0.0000 0.0000
S 2.6033 2.6033 2.8148
```

Output
**Space group**: P4/mmm
**M_tot**: 5.55 Bohr magnetons per cell
**DOS at the Fermi energy**: 4.29 states/eV/cell
**Calculated density**: 4.3 g/cm3
**Energy relative to the elements, uncorrected**: 2.750 eV/atom


# 3
PmHoRhPb | GGA-PBE | optimized geometry

Cell and atoms, written as extended XYZ:
```
4
Lattice="0.0000 3.6794 3.6794 3.6794 0.0000 3.6794 3.6794 3.6794 0.0000" Properties=species:S:1:pos:R:3 pbc="T T T"
Pm 0.0000 0.0000 0.0000
Ho 3.6794 3.6794 3.6794
Rh 5.5191 5.5191 5.5191
Pb 1.8397 1.8397 1.8397
```

Output
**Space group**: F-43m
**M_tot**: 0.00 Bohr magnetons per cell
**DOS at the Fermi energy**: 3.31 states/eV/cell
**Calculated density**: 10.3 g/cm3
**ΔE_f**: -0.483 eV/atom